Entry 1:
InSn2Hg: relaxed, GGA-PBEsol.

a = 4.315 Å, b = 4.315 Å, c = 11.549 Å
α = 100.77°, β = 100.77°, γ = 90.00°
Element x y z (fractional)
In 0.750 0.250 0.500
Sn 0.125 0.121 0.750
Sn 0.371 0.875 0.250
In 0.500 0.500 0.000
Hg 0.000 0.000 0.000
Hg 0.250 0.750 0.500
Sn 0.625 0.629 0.750
Sn 0.879 0.375 0.250

Values from the calculation:
The calculated formation energy comes out at 0.017 eV/atom. The energy above the most stable polymorph in this dataset comes out at 0.00 eV per formula unit. Its space group is I-42d, No. 122. The calculation puts the total energy at -3.000 eV/atom.

Entry 2:
LaMg2Ir: relaxed, GGA-PBEsol.

a = 4.532 Å, b = 4.731 Å, c = 5.541 Å
α = 66.86°, β = 65.86°, γ = 61.38°
Element x y z (fractional)
Ir 0.550 0.584 0.317
La 0.767 0.725 0.740
Mg 0.222 0.231 0.325
Mg 0.962 0.960 0.117

Values from the calculation:
The calculated formation energy comes out at -0.270 eV/atom. Its space group is Cm, No. 8. The calculation puts the total energy at -4.921 eV/atom.

Entry 3:
CuReSe2: relaxed, GGA-PBEsol.

a = 4.379 Å, b = 4.379 Å, c = 4.379 Å
α = 60.00°, β = 60.00°, γ = 60.00°
Element x y z (fractional)
Se 0.250 0.250 0.250
Se 0.750 0.750 0.750
Cu 0.500 0.500 0.500
Re 0.000 0.000 0.000

Values from the calculation:
The energy above the most stable polymorph in this dataset comes out at 0.73 eV per formula unit. The uncorrected formation energy comes out at 0.36 eV/atom. Its space group is Fm-3m, No. 225. The calculation puts the total energy at -5.983 eV/atom.

Entry 4:
CsZnF2: relaxed, GGA-PBEsol.

a = 6.371 Å, b = 6.263 Å, c = 6.371 Å
α = 59.42°, β = 90.00°, γ = 120.58°
Element x y z (fractional)
F 0.875 0.250 0.516
Zn 0.500 0.000 0.500
F 0.516 0.750 0.375
F 0.234 0.750 0.875
Zn 0.250 0.500 0.250
Cs 0.000 0.000 0.000
Cs 0.750 0.500 0.750
F 0.375 0.250 0.234

Values from the calculation:
The energy above the most stable polymorph in this dataset comes out at 0.00 eV per formula unit. The uncorrected formation energy comes out at -1.85 eV/atom. Its space group is I-42d, No. 122. The calculation puts the total energy at -3.444 eV/atom.

Entry 5:
Sc2TaMoSe: relaxed, GGA-PBEsol.

a = 4.601 Å, b = 4.772 Å, c = 4.772 Å
α = 90.00°, β = 90.00°, γ = 90.00°
Element x y z (fractional)
Ta 0.500 0.500 0.500
Sc 0.000 0.500 0.000
Se 0.000 0.000 0.000
Sc 0.000 0.000 0.500
Mo 0.500 0.000 0.000

Values from the calculation:
The uncorrected formation energy comes out at 0.43 eV/atom. Its space group is P4/mmm, No. 123. The calculation puts the total energy at -7.842 eV/atom.

Entry 6:
ZrSi2TcN: relaxed, GGA-PBEsol.

a = 3.672 Å, b = 4.748 Å, c = 4.748 Å
α = 90.00°, β = 90.00°, γ = 90.00°
Element x y z (fractional)
Si 0.000 0.500 0.000
Si 0.000 0.000 0.500
N 0.500 0.000 0.000
Tc 0.000 0.000 0.000
Zr 0.500 0.500 0.500

Values from the calculation:
The uncorrected formation energy comes out at 0.31 eV/atom. Its space group is P4/mmm, No. 123. The calculation puts the total energy at -7.761 eV/atom.

Entry 7:
TiSn2Os: relaxed, GGA-PBEsol.

a = 4.631 Å, b = 4.631 Å, c = 4.631 Å
α = 60.00°, β = 60.00°, γ = 60.00°
Element x y z (fractional)
Sn 0.250 0.250 0.250
Sn 0.750 0.750 0.750
Os 0.500 0.500 0.500
Ti 0.000 0.000 0.000

Values from the calculation:
The calculated formation energy comes out at 0.094 eV/atom. Its space group is Fm-3m, No. 225. The calculation puts the total energy at -7.170 eV/atom.

Entry 8:
ZnCd2As: relaxed, GGA-PBEsol.

a = 3.019 Å, b = 3.019 Å, c = 8.316 Å
α = 90.00°, β = 90.00°, γ = 89.98°
Element x y z (fractional)
Cd 0.000 0.000 0.733
Zn 0.500 0.500 0.500
As 0.500 0.500 0.000
Cd 0.000 0.000 0.267

Values from the calculation:
The calculated formation energy comes out at 0.157 eV/atom. The energy above the most stable polymorph in this dataset comes out at 0.09 eV per formula unit. Its space group is P4/mmm, No. 123. The calculation puts the total energy at -2.113 eV/atom.